No. 1
DFT (meta-GGA SCAN) results for a crystal of Dy2Ga8Fe relaxed with PBEsol.

Structure (extended XYZ):
```
11
Lattice="4.151 0.000 0.000 0.000 4.151 0.000 0.000 0.000 10.980" Properties=species:S:1:pos:R:3 pbc="T T T"
Dy 0.000 0.000 2.131
Dy 0.000 0.000 8.849
Ga 0.000 2.076 0.000
Ga 0.000 2.076 4.218
Ga 0.000 2.076 6.761
Ga 2.076 0.000 0.000
Ga 2.076 0.000 4.218
Ga 2.076 0.000 6.761
Ga 2.076 2.076 2.139
Ga 2.076 2.076 8.841
Fe 0.000 0.000 5.490
```

Energy of formation from the pure elements ... -0.49 eV/atom
N(E_F) ... 3.68 states/eV per cell


No. 2
DFT (meta-GGA SCAN) results for a crystal of DyMnFeO5 relaxed with PBEsol.

Structure (extended XYZ):
```
32
Lattice="7.210 0.000 0.000 0.000 8.459 0.000 0.000 0.000 5.625" Properties=species:S:1:pos:R:3 pbc="T T T"
Dy 0.971 1.435 0.000
Dy 2.634 5.665 0.000
Dy 4.576 2.794 0.000
Dy 6.239 7.024 0.000
Mn 0.000 4.230 1.417
Mn 0.000 4.230 4.207
Mn 3.605 0.000 1.417
Mn 3.605 0.000 4.207
Fe 0.787 7.220 2.812
Fe 2.818 2.991 2.812
Fe 4.392 5.468 2.812
Fe 6.423 1.239 2.812
O 0.000 0.000 1.494
O 0.000 0.000 4.131
O 0.731 5.963 1.364
O 0.731 5.963 4.261
O 1.107 3.679 2.812
O 1.178 3.753 0.000
O 2.427 7.982 0.000
O 2.498 7.909 2.812
O 2.874 1.733 1.364
O 2.874 1.733 4.261
O 3.605 4.230 1.494
O 3.605 4.230 4.131
O 4.336 6.726 1.364
O 4.336 6.726 4.261
O 4.711 0.550 2.812
O 4.783 0.477 0.000
O 6.031 4.707 0.000
O 6.103 4.780 2.812
O 6.479 2.497 1.364
O 6.479 2.497 4.261
```

Formation energy from raw total energies ... -2650 meV per atom


No. 3
DFT (meta-GGA SCAN) results for a crystal of Dy2Fe17N3 relaxed with PBEsol.

Structure (extended XYZ):
```
44
Lattice="8.453 0.000 0.000 -4.227 7.321 0.000 0.000 0.000 8.203" Properties=species:S:1:pos:R:3 pbc="T T T"
Dy 0.000 0.000 2.051
Dy 0.000 0.000 6.152
Dy 0.000 4.880 2.051
Dy 4.227 2.440 6.152
Fe -2.113 3.660 0.000
Fe -2.113 3.660 4.101
Fe -1.153 2.788 6.152
Fe -2.388 4.928 6.152
Fe 0.000 2.471 0.168
Fe 0.000 2.471 3.933
Fe -2.087 6.085 0.168
Fe -2.087 6.085 3.933
Fe 1.153 2.788 6.152
Fe -1.235 6.925 6.152
Fe 0.000 4.880 4.987
Fe 0.000 4.880 7.317
Fe 2.140 1.235 4.269
Fe 2.140 1.235 8.034
Fe 2.991 0.395 2.051
Fe 1.838 2.393 2.051
Fe 4.227 0.000 0.000
Fe 4.227 0.000 4.101
Fe 2.113 3.660 0.000
Fe 2.113 3.660 4.101
Fe 2.388 4.928 6.152
Fe 1.235 6.925 6.152
Fe 2.087 6.085 0.168
Fe 2.087 6.085 3.933
Fe 4.227 2.440 0.885
Fe 4.227 2.440 3.216
Fe 5.462 0.395 2.051
Fe 3.073 4.532 2.051
Fe 6.314 1.235 4.269
Fe 6.314 1.235 8.034
Fe 4.227 4.850 4.269
Fe 4.227 4.850 8.034
Fe 6.615 2.393 2.051
Fe 5.380 4.532 2.051
N 0.000 2.410 2.051
N -2.139 6.115 2.051
N 2.087 1.205 6.152
N 2.139 6.115 2.051
N 6.366 1.205 6.152
N 4.227 4.910 6.152
```

Formation energy from raw total energies ... -294 meV per atom
N(E_F) ... 18.21 states/eV per cell
Polymorph energy (0 for the lowest one) ... 0 meV/atom


No. 4
DFT (meta-GGA SCAN) results for a crystal of Dy2Fe17N3 relaxed with PBEsol.

Structure (extended XYZ):
```
22
Lattice="4.225 2.439 4.105 -4.225 2.439 4.105 0.000 -4.878 4.105" Properties=species:S:1:pos:R:3 pbc="T T T"
Dy 0.000 0.000 1.945
Dy 0.000 0.000 10.370
Fe -2.112 -1.220 4.105
Fe 0.000 -2.382 3.934
Fe -2.063 1.191 3.934
Fe -1.192 -2.064 6.158
Fe -2.384 0.000 6.158
Fe -2.063 -1.191 8.382
Fe 0.000 0.000 4.986
Fe -2.112 1.220 8.210
Fe 1.192 -2.064 6.158
Fe 0.000 2.439 4.105
Fe -1.192 2.064 6.158
Fe 0.000 0.000 7.330
Fe 2.063 1.191 3.934
Fe 2.384 0.000 6.158
Fe 1.192 2.064 6.158
Fe 2.063 -1.191 8.382
Fe 0.000 2.382 8.382
N -4.225 0.000 6.158
N -2.112 1.220 2.053
N 2.112 1.220 2.053
```

Formation energy from raw total energies ... -290 meV per atom
N(E_F) ... 11.38 states/eV per cell
Polymorph energy (0 for the lowest one) ... 3 meV/atom


No. 5
DFT (meta-GGA SCAN) results for a crystal of Dy2Fe3Ni relaxed with PBEsol.

Structure (extended XYZ):
```
6
Lattice="2.479 1.431 4.228 -2.479 1.431 4.228 0.000 -2.862 4.228" Properties=species:S:1:pos:R:3 pbc="T T T"
Dy 0.000 0.000 1.577
Dy 0.000 0.000 11.106
Fe -1.239 -0.716 4.228
Fe -1.239 0.716 8.455
Fe 0.000 1.431 4.228
Ni 0.000 0.000 6.341
```

Energy of formation from the pure elements ... -0.14 eV/atom
N(E_F) ... 4.38 states/eV per cell


No. 6
DFT (meta-GGA SCAN) results for a crystal of DyFeNi4 relaxed with PBEsol.

Structure (extended XYZ):
```
6
Lattice="4.846 0.000 0.000 -2.423 4.197 0.000 0.000 0.000 3.882" Properties=species:S:1:pos:R:3 pbc="T T T"
Dy 0.000 0.000 0.000
Fe 2.423 1.399 0.000
Ni -1.209 2.100 1.941
Ni 0.000 2.798 0.000
Ni 1.209 2.100 1.941
Ni 0.000 4.194 1.941
```

Energy of formation from the pure elements ... -0.27 eV/atom
N(E_F) ... 4.44 states/eV per cell


No. 7
DFT (meta-GGA SCAN) results for a crystal of Dy2Fe12P7 relaxed with PBEsol.

Structure (extended XYZ):
```
21
Lattice="8.817 0.000 0.000 -4.408 7.635 0.000 0.000 0.000 3.590" Properties=species:S:1:pos:R:3 pbc="T T T"
Dy 0.000 0.000 0.000
Dy 0.000 5.090 1.795
Fe -3.028 5.793 1.795
Fe -0.812 2.919 0.000
Fe 0.905 2.117 1.795
Fe -1.474 6.880 0.000
Fe 2.964 1.814 0.000
Fe 4.257 0.456 1.795
Fe 2.675 3.721 1.795
Fe 2.287 5.472 0.000
Fe 2.123 7.361 1.795
Fe 5.764 1.660 0.000
Fe 4.497 4.162 0.000
Fe 6.294 3.459 1.795
P -2.159 4.756 0.000
P 2.104 0.268 1.795
P 1.369 3.387 0.000
P 0.790 7.127 0.000
P 4.408 2.545 1.795
P 3.588 5.679 1.795
P 7.533 1.689 1.795
```

Energy of formation from the pure elements ... -0.64 eV/atom
N(E_F) ... 13.32 states/eV per cell


No. 8
DFT (meta-GGA SCAN) results for a crystal of Dy2FeSi2 relaxed with PBEsol.

Structure (extended XYZ):
```
10
Lattice="5.186 -2.044 0.000 5.186 2.044 0.000 -4.888 0.000 8.574" Properties=species:S:1:pos:R:3 pbc="T T T"
Dy -0.820 0.000 1.482
Dy -1.006 0.000 5.211
Dy 6.491 0.000 3.364
Dy 6.305 0.000 7.092
Fe 2.224 0.000 1.051
Fe 3.261 0.000 7.523
Si -1.003 0.000 8.023
Si 3.349 0.000 3.189
Si 2.136 0.000 5.385
Si 6.488 0.000 0.551
```

Formation energy from raw total energies ... -656 meV per atom
N(E_F) ... 4.99 states/eV per cell


Number 1: total energy -22.719 eV per atom, calculated volume 17.20 Å³ per atom. Number 2: total energy -17.067 eV per atom, calculated volume 10.72 Å³ per atom. Number 3: total energy -19.915 eV per atom, calculated volume 11.54 Å³ per atom. Number 4: total energy -19.912 eV per atom, calculated volume 11.54 Å³ per atom. Number 5: total energy -27.834 eV per atom, calculated volume 15.00 Å³ per atom. Number 6: total energy -22.044 eV per atom, calculated volume 13.16 Å³ per atom. Number 7: total energy -19.014 eV per atom, calculated volume 11.51 Å³ per atom. Number 8: total energy -27.406 eV per atom, calculated volume 18.18 Å³ per atom.